1.
This record from Alexandria describes VIn2Te after structural relaxation. The functional is PBE.

extended XYZ file:
```
16
Lattice="8.314 0.000 0.000 0.000 8.314 0.000 0.000 0.000 6.018" Properties=species:S:1:pos:R:3 pbc="T T T"
V 0.000 0.000 0.000
V 0.000 4.157 1.505
V 4.157 0.000 4.514
V 4.157 4.157 3.009
In 1.928 2.079 0.752
In 2.079 6.085 2.257
In 2.079 6.387 5.266
In 2.230 2.079 3.761
In 6.085 6.236 3.761
In 6.236 1.928 5.266
In 6.236 2.230 2.257
In 6.387 6.236 0.752
Te 0.000 0.000 3.009
Te 0.000 4.157 4.514
Te 4.157 0.000 1.505
Te 4.157 4.157 0.000
```

Summary:
Space group: I-42d (122)
M_tot, μB per cell: 14.2
N(E_F), states/eV/cell: 11.1
ρ, g/cm³: 6.5
V, Å³/f.u.: 104
ΔE_f (raw), kJ/mol of formula units: 121


2.
This record from Alexandria describes RbAuI3 after structural relaxation. The functional is PBE.

extended XYZ file:
```
5
Lattice="5.315 0.000 0.000 0.008 5.737 0.000 0.496 0.000 7.575" Properties=species:S:1:pos:R:3 pbc="T T T"
Rb 0.000 0.000 0.000
Au 4.754 2.869 4.177
I 1.118 2.866 2.123
I 3.345 2.871 6.441
I 4.651 0.001 4.030
```

Summary:
Space group: P1 (1)
M_tot, μB per cell: 0.0
N(E_F), states/eV/cell: 0.7
ρ, g/cm³: 4.8
V, Å³/f.u.: 231
ΔE_f (raw), kJ/mol of formula units: -304